[1]
DFT (PBE) results for an optimized crystal structure of ScNi2Ge2.

Computed properties:
**N(E_F)**: 3.3 states/eV/f.u.
**DFT formation energy**: -339 meV per atom

abc: 7.132 7.132 2.871
angles: 90.00 90.00 90.00
Space group P4/mbm (No. 127)
Asymmetric unit:
Sc 0.000 0.000 0.000 [2 per cell]
Ni 0.125 0.375 0.000 [4 per cell]
Ge 0.167 0.667 0.500 [4 per cell]

=====

[2]
DFT (PBE) results for an optimized crystal structure of ScNi6Ge4.

Computed properties:
**N(E_F)**: 5.2 states/eV/f.u.
**DFT formation energy**: -465 meV per atom

abc: 6.8218 6.8218 3.6731
angles: 90.00 90.00 120.00
Space group P-6m2 (No. 187)
Asymmetric unit:
Sc 0.0000 0.0000 0.0000 [1 per cell]
Ni 0.0733 0.5366 0.0000 [3 per cell]
Ni 0.4070 0.2035 0.5000 [3 per cell]
Ge 0.1877 0.3755 0.5000 [3 per cell]
Ge 0.6667 0.3333 0.0000 [1 per cell]

=====

[3]
DFT (PBE) results for an optimized crystal structure of ScNi3Ge.

Computed properties:
**N(E_F)**: 4.5 states/eV/f.u.
**DFT formation energy**: 56 meV per atom

abc: 4.336 4.336 4.336
angles: 90.00 90.00 90.00
Space group Pm-3m (No. 221)
Asymmetric unit:
Sc 0.000 0.000 0.000 [1 per cell]
Ni 0.000 0.500 0.500 [3 per cell]
Ge 0.500 0.500 0.500 [1 per cell]

=====

[4]
DFT (PBE) results for an optimized crystal structure of Sc8Ni2Ge.

Computed properties:
**N(E_F)**: 15.8 states/eV/f.u.
**DFT formation energy**: -258 meV per atom

abc: 8.046 12.326 4.825
angles: 90.00 105.32 90.00
Space group C2/m (No. 12)
Asymmetric unit:
Sc 0.000 0.241 0.000 [4 per cell]
Sc 0.114 0.500 0.807 [4 per cell]
Sc 0.202 0.126 0.583 [8 per cell]
Ni 0.000 0.309 0.500 [4 per cell]
Ge 0.000 0.000 0.000 [2 per cell]

=====

[5]
DFT (PBE) results for an optimized crystal structure of Sc2Ni6Ge.

Computed properties:
**N(E_F)**: 5.7 states/eV/f.u.
**DFT formation energy**: -466 meV per atom

abc: 8.647 5.129 5.647
angles: 90.00 102.82 90.00
Space group C2/m (No. 12)
Asymmetric unit:
Sc 0.148 0.000 0.349 [4 per cell]
Ni 0.127 0.500 0.183 [4 per cell]
Ni 0.130 0.236 0.833 [8 per cell]
Ge 0.000 0.500 0.500 [2 per cell]

=====

[6]
DFT (PBE) results for an optimized crystal structure of ScNi3Ge3.

Computed properties:
**N(E_F)**: 5.9 states/eV/f.u.
**DFT formation energy**: 49 meV per atom

abc: 6.379 6.379 6.379
angles: 90.00 90.00 90.00
Space group Pm-3n (No. 223)
Asymmetric unit:
Sc 0.000 0.000 0.000 [2 per cell]
Ni 0.000 0.250 0.500 [6 per cell]
Ge 0.000 0.500 0.250 [6 per cell]

=====

[7]
DFT (PBE) results for an optimized crystal structure of ScNi3Ge.

Computed properties:
**N(E_F)**: 4.0 states/eV/f.u.
**DFT formation energy**: -455 meV per atom

abc: 5.161 11.524 4.650
angles: 90.00 90.00 90.00
Space group Cmcm (No. 63)
Asymmetric unit:
Sc 0.000 0.090 0.250 [4 per cell]
Ni 0.000 0.500 0.000 [4 per cell]
Ni 0.243 0.346 0.250 [8 per cell]
Ge 0.000 0.318 0.750 [4 per cell]

=====

[8]
DFT (PBE) results for an optimized crystal structure of ScNi7Ge2.

Computed properties:
**N(E_F)**: 10.2 states/eV/f.u.
**DFT formation energy**: 73 meV per atom

abc: 6.558 11.474 4.138
angles: 90.00 90.00 90.00
Space group Cmmm (No. 65)
Asymmetric unit:
Sc 0.000 0.000 0.000 [2 per cell]
Ni 0.000 0.215 0.000 [4 per cell]
Ni 0.000 0.500 0.500 [2 per cell]
Ni 0.182 0.112 0.500 [8 per cell]
Ge 0.000 0.300 0.500 [4 per cell]

=====

[9]
DFT (PBE) results for an optimized crystal structure of Sc2Ni5Ge3.

Computed properties:
**N(E_F)**: 6.3 states/eV/f.u.
**DFT formation energy**: -556 meV per atom

abc: 3.998 22.433 6.293
angles: 90.00 90.00 90.00
Space group Cmc2_1 (No. 36)
Asymmetric unit:
Sc 0.000 0.014 0.000 [4 per cell]
Sc 0.000 0.324 0.958 [4 per cell]
Ni 0.000 0.116 0.720 [4 per cell]
Ni 0.000 0.200 0.103 [4 per cell]
Ni 0.000 0.227 0.699 [4 per cell]
Ni 0.000 0.378 0.518 [4 per cell]
Ni 0.000 0.452 0.813 [4 per cell]
Ge 0.000 0.106 0.289 [4 per cell]
Ge 0.000 0.280 0.385 [4 per cell]
Ge 0.000 0.443 0.208 [4 per cell]

=====

[10]
DFT (PBE) results for an optimized crystal structure of ScNi6Ge6.

Computed properties:
**N(E_F)**: 4.5 states/eV/f.u.
**DFT formation energy**: -407 meV per atom

abc: 5.125 7.838 8.834
angles: 90.00 90.00 90.00
Space group Immm (No. 71)
Asymmetric unit:
Sc 0.000 0.000 0.000 [2 per cell]
Ni 0.000 0.245 0.500 [4 per cell]
Ni 0.250 0.250 0.250 [8 per cell]
Ge 0.000 0.000 0.332 [4 per cell]
Ge 0.000 0.341 0.000 [4 per cell]
Ge 0.000 0.500 0.336 [4 per cell]

=====

[11]
DFT (PBE) results for an optimized crystal structure of ScNiGe2.

Computed properties:
**N(E_F)**: 1.8 states/eV/f.u.
**DFT formation energy**: -550 meV per atom

abc: 3.9584 3.9584 14.5111
angles: 90.00 90.00 120.00
Space group R-3m (No. 166, hexagonal axes)
Asymmetric unit:
Sc 0.0000 0.0000 0.0000 [3 per cell]
Ni 0.0000 0.0000 0.5000 [3 per cell]
Ge 0.0000 0.0000 0.2241 [6 per cell]

=====

[12]
DFT (PBE) results for an optimized crystal structure of ScNi3Ge3.

Computed properties:
**N(E_F)**: 5.0 states/eV/f.u.
**DFT formation energy**: -343 meV per atom

abc: 7.9237 7.9237 4.0229
angles: 90.00 90.00 120.00
Space group P6_3/m (No. 176)
Asymmetric unit:
Sc 0.3333 0.6667 0.2500 [2 per cell]
Ni 0.0739 0.2238 0.2500 [6 per cell]
Ge 0.1070 0.3989 0.7500 [6 per cell]

=====

[13]
DFT (PBE) results for an optimized crystal structure of Sc3NiGe.

Computed properties:
**N(E_F)**: 8.1 states/eV/f.u.
**DFT formation energy**: -166 meV per atom

abc: 4.785 4.785 4.785
angles: 90.00 90.00 90.00
Space group Pm-3m (No. 221)
Asymmetric unit:
Sc 0.000 0.000 0.500 [3 per cell]
Ni 0.000 0.000 0.000 [1 per cell]
Ge 0.500 0.500 0.500 [1 per cell]

=====

[14]
DFT (PBE) results for an optimized crystal structure of ScNi6Ge.

Computed properties:
**N(E_F)**: 9.0 states/eV/f.u.
**DFT formation energy**: 98 meV per atom

abc: 4.8988 4.8988 17.9559
angles: 90.00 90.00 120.00
Space group R-3m (No. 166, hexagonal axes)
Asymmetric unit:
Sc 0.0000 0.0000 0.0000 [3 per cell]
Ni 0.0098 0.5049 0.9338 [18 per cell]
Ge 0.0000 0.0000 0.5000 [3 per cell]

=====

[15]
DFT (PBE) results for an optimized crystal structure of ScNiGe2.

Computed properties:
**N(E_F)**: 3.7 states/eV/f.u.
**DFT formation energy**: -256 meV per atom

abc: 6.362 6.362 6.362
angles: 90.00 90.00 90.00
Space group Fm-3m (No. 225)
Asymmetric unit:
Sc 0.000 0.000 0.000 [4 per cell]
Ni 0.000 0.000 0.500 [4 per cell]
Ge 0.250 0.250 0.250 [8 per cell]

=====

[16]
DFT (PBE) results for an optimized crystal structure of ScNiGe2.

Computed properties:
**N(E_F)**: 2.4 states/eV/f.u.
**DFT formation energy**: -218 meV per atom

abc: 4.249 4.249 16.540
angles: 90.00 90.00 90.00
Space group I-42d (No. 122)
Asymmetric unit:
Sc 0.000 0.000 0.000 [4 per cell]
Ni 0.000 0.000 0.500 [4 per cell]
Ge 0.165 0.250 0.625 [8 per cell]

=====

[17]
DFT (PBE) results for an optimized crystal structure of Sc2Ni2Ge.

Computed properties:
**N(E_F)**: 0.4 states/eV/f.u.
**DFT formation energy**: -354 meV per atom

abc: 4.967 4.967 7.015
angles: 90.00 90.00 90.00
Space group I4/mmm (No. 139)
Asymmetric unit:
Sc 0.000 0.500 0.250 [4 per cell]
Ni 0.000 0.000 0.157 [4 per cell]
Ge 0.000 0.000 0.500 [2 per cell]

=====

[18]
DFT (PBE) results for an optimized crystal structure of Sc4Ni2Ge5.

Computed properties:
**N(E_F)**: 7.6 states/eV/f.u.
**DFT formation energy**: -612 meV per atom

abc: 8.615 16.372 5.401
angles: 90.00 90.00 90.00
Space group Ibam (No. 72)
Asymmetric unit:
Sc 0.117 0.147 0.000 [8 per cell]
Sc 0.238 0.434 0.000 [8 per cell]
Ni 0.000 0.312 0.250 [8 per cell]
Ge 0.000 0.000 0.250 [4 per cell]
Ge 0.086 0.425 0.500 [8 per cell]
Ge 0.170 0.222 0.500 [8 per cell]

=====

[19]
DFT (PBE) results for an optimized crystal structure of Sc2NiGe.

Computed properties:
**N(E_F)**: 3.1 states/eV/f.u.
**DFT formation energy**: 125 meV per atom

abc: 4.215 4.215 17.972
angles: 90.00 90.00 90.00
Space group I-42d (No. 122)
Asymmetric unit:
Sc 0.247 0.250 0.125 [8 per cell]
Ni 0.000 0.000 0.500 [4 per cell]
Ge 0.000 0.000 0.000 [4 per cell]

=====

[20]
DFT (PBE) results for an optimized crystal structure of TbScNiGe.

Computed properties:
**N(E_F)**: 1.6 states/eV/f.u.
**DFT formation energy**: -546 meV per atom

abc: 6.776 6.776 6.776
angles: 90.00 90.00 90.00
Space group F-43m (No. 216)
Asymmetric unit:
Tb 0.000 0.000 0.000 [4 per cell]
Sc 0.000 0.000 0.500 [4 per cell]
Ni 0.250 0.250 0.750 [4 per cell]
Ge 0.250 0.250 0.250 [4 per cell]